A plane-wave DFT calculation with meta-GGA SCAN was carried out for a crystal of Sr16Mn8O29 relaxed with PBEsol.

## Properties
D(E_F) ... 0.35 states/eV/cell
Symmetry ... P1
Uncorrected formation energy ... -2.824 eV/atom
V ... 719.21 Å³ per cell
Magnetization ... 0.566 μB/atom
Electronic total energy ... -15.71 eV per atom

Geometry as POSCAR:
```
Sr16Mn8O29
1.0
6.770 -0.002 0.000
-2.484 9.875 0.002
-0.006 -0.016 10.760
Sr Mn O
16 8 29
Direct
0.213 0.932 0.000 Sr
0.228 0.921 0.500 Sr
0.021 0.316 0.253 Sr
0.039 0.331 0.756 Sr
0.286 0.581 0.993 Sr
0.287 0.569 0.498 Sr
0.521 0.814 0.244 Sr
0.541 0.825 0.749 Sr
0.462 0.169 0.255 Sr
0.480 0.185 0.756 Sr
0.709 0.428 0.501 Sr
0.728 0.433 0.996 Sr
0.962 0.668 0.242 Sr
0.966 0.683 0.748 Sr
0.769 0.074 0.504 Sr
0.790 0.073 0.003 Sr
0.003 0.001 0.750 Mn
0.244 0.249 0.500 Mn
0.255 0.252 0.999 Mn
0.499 0.499 0.248 Mn
0.501 0.503 0.751 Mn
0.749 0.751 0.999 Mn
0.753 0.749 0.500 Mn
0.997 0.999 0.252 Mn
0.219 0.912 0.258 O
0.006 0.320 0.508 O
0.245 0.932 0.742 O
0.031 0.338 0.009 O
0.256 0.565 0.239 O
0.265 0.582 0.748 O
0.102 0.103 0.396 O
0.134 0.131 0.863 O
0.136 0.136 0.129 O
0.513 0.832 0.999 O
0.532 0.835 0.489 O
0.365 0.367 0.631 O
0.367 0.369 0.363 O
0.387 0.385 0.887 O
0.614 0.613 0.115 O
0.621 0.621 0.624 O
0.630 0.633 0.869 O
0.637 0.635 0.370 O
0.467 0.165 0.510 O
0.497 0.182 0.011 O
0.876 0.878 0.880 O
0.865 0.868 0.135 O
0.891 0.889 0.611 O
0.720 0.409 0.242 O
0.737 0.425 0.750 O
0.985 0.676 0.997 O
0.756 0.066 0.260 O
0.994 0.678 0.490 O
0.781 0.089 0.743 O
```


A plane-wave DFT calculation with meta-GGA SCAN was carried out for a crystal of Sr2Mn2O5 relaxed with PBEsol.

## Properties
D(E_F) ... 1.48 states/eV/cell
Symmetry ... P4/mmm
Uncorrected formation energy ... -2.642 eV/atom
V ... 109.77 Å³ per cell
Magnetization ... 0.772 μB/atom
Electronic total energy ... -15.11 eV per atom

Geometry as POSCAR:
```
Sr2Mn2O5
1.0
3.706 0.000 0.000
0.000 5.442 0.000
0.000 0.000 5.442
Sr Mn O
2 2 5
Direct
0.000 0.500 0.000 Sr
0.000 0.000 0.500 Sr
0.500 0.500 0.500 Mn
0.500 0.000 0.000 Mn
0.000 0.000 0.000 O
0.500 0.255 0.255 O
0.500 0.745 0.745 O
0.500 0.745 0.255 O
0.500 0.255 0.745 O
```


A plane-wave DFT calculation with meta-GGA SCAN was carried out for a crystal of Sr2Mn2O5 relaxed with PBEsol.

## Properties
D(E_F) ... 0.02 states/eV/cell
Symmetry ... Pbam
Uncorrected formation energy ... -2.687 eV/atom
V ... 223.60 Å³ per cell
Magnetization ... 0.889 μB/atom
Electronic total energy ... -15.16 eV per atom

Geometry as POSCAR:
```
Sr2Mn2O5
1.0
-2.050 -3.077 -0.746
3.571 -1.431 -3.912
5.726 -5.577 7.269
O Mn Sr
10 4 4
Direct
0.000 0.500 0.500 O
0.000 0.000 0.000 O
0.000 0.974 0.734 O
0.000 0.026 0.266 O
0.000 0.474 0.766 O
0.000 0.526 0.234 O
0.500 0.202 0.601 O
0.500 0.798 0.399 O
0.500 0.298 0.101 O
0.500 0.702 0.899 O
0.000 0.241 0.624 Mn
0.000 0.759 0.376 Mn
0.000 0.741 0.876 Mn
0.000 0.259 0.124 Mn
0.500 0.217 0.867 Sr
0.500 0.783 0.133 Sr
0.500 0.717 0.633 Sr
0.500 0.283 0.367 Sr
```